Run P
Crystalline SrWAu2 at its relaxed geometry. Source: Alexandria via LeMat-Bulk, functional PBE-GGA.

Structure (CIF):
```
data_SrWAu2
_symmetry_space_group_name_H-M 'I m m 2'
_symmetry_Int_Tables_number 44
_symmetry_space_group_name_Hall 'I 2 -2'
_cell_length_a 3.055
_cell_length_b 5.133
_cell_length_c 10.775
_cell_angle_alpha 90.00
_cell_angle_beta 90.00
_cell_angle_gamma 90.00
loop_
_atom_site_label
_atom_site_fract_x
_atom_site_fract_y
_atom_site_fract_z
_atom_site_occupancy
Sr1 0.000 0.000 0.000 1
W1 0.000 0.500 0.778 1
Au1 0.000 0.000 0.495 1
Au2 0.000 0.500 0.232 1
```


Run Q
Crystalline SrWAu2 at its relaxed geometry. Source: Alexandria via LeMat-Bulk, functional PBE-GGA.

Structure (CIF):
```
data_SrWAu2
_symmetry_space_group_name_H-M 'R -3 m'
_symmetry_Int_Tables_number 166
_symmetry_space_group_name_Hall '-R 3 2"'
_cell_length_a 3.1212
_cell_length_b 3.1212
_cell_length_c 29.3214
_cell_angle_alpha 90.00
_cell_angle_beta 90.00
_cell_angle_gamma 120.00
loop_
_atom_site_label
_atom_site_fract_x
_atom_site_fract_y
_atom_site_fract_z
_atom_site_occupancy
Sr1 0.0000 0.0000 0.0000 1
W1 0.0000 0.0000 0.5000 1
Au1 0.0000 0.0000 0.2413 1
```


Relative calculated energies, zero for the most stable structure, unit meV per atom: run P 0; run Q 119.


Run P
Crystalline SrWAu2 at its relaxed geometry. Source: Alexandria via LeMat-Bulk, functional PBE-GGA.

Structure (CIF):
```
data_SrWAu2
_symmetry_space_group_name_H-M 'P m m 2'
_symmetry_Int_Tables_number 25
_symmetry_space_group_name_Hall 'P 2 -2'
_cell_length_a 3.033
_cell_length_b 4.285
_cell_length_c 6.779
_cell_angle_alpha 90.00
_cell_angle_beta 90.00
_cell_angle_gamma 90.00
loop_
_atom_site_label
_atom_site_fract_x
_atom_site_fract_y
_atom_site_fract_z
_atom_site_occupancy
Sr1 0.000 0.000 0.000 1
W1 0.500 0.500 0.343 1
Au1 0.000 0.000 0.473 1
Au2 0.500 0.500 0.746 1
```


Run Q
Crystalline SrWAu2 at its relaxed geometry. Source: Alexandria via LeMat-Bulk, functional PBE-GGA.

Structure (CIF):
```
data_SrWAu2
_symmetry_space_group_name_H-M 'C m m m'
_symmetry_Int_Tables_number 65
_symmetry_space_group_name_Hall '-C 2 2'
_cell_length_a 7.307
_cell_length_b 7.338
_cell_length_c 3.076
_cell_angle_alpha 90.00
_cell_angle_beta 90.00
_cell_angle_gamma 90.00
loop_
_atom_site_label
_atom_site_fract_x
_atom_site_fract_y
_atom_site_fract_z
_atom_site_occupancy
Sr1 0.000 0.000 0.000 1
W1 0.000 0.500 0.000 1
Au1 0.250 0.250 0.500 1
```


Run R
Crystalline SrWAu2 at its relaxed geometry. Source: Alexandria via LeMat-Bulk, functional PBE-GGA.

Structure (CIF):
```
data_SrWAu2
_symmetry_space_group_name_H-M 'F -4 3 m'
_symmetry_Int_Tables_number 216
_symmetry_space_group_name_Hall 'F -4 2 3'
_cell_length_a 6.997
_cell_length_b 6.997
_cell_length_c 6.997
_cell_angle_alpha 90.00
_cell_angle_beta 90.00
_cell_angle_gamma 90.00
loop_
_atom_site_label
_atom_site_fract_x
_atom_site_fract_y
_atom_site_fract_z
_atom_site_occupancy
Sr1 0.000 0.000 0.000 1
W1 0.250 0.250 0.250 1
Au1 0.000 0.000 0.500 1
Au2 0.250 0.250 0.750 1
```


Relative calculated energies, zero for the most stable structure, unit meV per atom: run P 130; run Q 0; run R 457.


Run P
Crystalline SrWAu2 at its relaxed geometry. Source: Alexandria via LeMat-Bulk, functional PBE-GGA.

Structure (CIF):
```
data_SrWAu2
_symmetry_space_group_name_H-M 'I -4 2 d'
_symmetry_Int_Tables_number 122
_symmetry_space_group_name_Hall 'I -4 2bw'
_cell_length_a 5.342
_cell_length_b 5.342
_cell_length_c 16.532
_cell_angle_alpha 90.00
_cell_angle_beta 90.00
_cell_angle_gamma 90.00
loop_
_atom_site_label
_atom_site_fract_x
_atom_site_fract_y
_atom_site_fract_z
_atom_site_occupancy
Sr1 0.000 0.000 0.000 1
W1 0.000 0.000 0.500 1
Au1 0.135 0.250 0.625 1
```


Run Q
Crystalline SrWAu2 at its relaxed geometry. Source: Alexandria via LeMat-Bulk, functional PBE-GGA.

Structure (CIF):
```
data_SrWAu2
_symmetry_space_group_name_H-M 'C 1 2/m 1'
_symmetry_Int_Tables_number 12
_symmetry_space_group_name_Hall '-C 2y'
_cell_length_a 8.744
_cell_length_b 3.253
_cell_length_c 6.668
_cell_angle_alpha 90.00
_cell_angle_beta 100.50
_cell_angle_gamma 90.00
loop_
_atom_site_label
_atom_site_fract_x
_atom_site_fract_y
_atom_site_fract_z
_atom_site_occupancy
Sr1 0.000 0.000 0.000 1
W1 0.000 0.500 0.500 1
Au1 0.239 0.000 0.678 1
```


Run R
Crystalline SrWAu2 at its relaxed geometry. Source: Alexandria via LeMat-Bulk, functional PBE-GGA.

Structure (CIF):
```
data_SrWAu2
_symmetry_space_group_name_H-M 'C 1 m 1'
_symmetry_Int_Tables_number 8
_symmetry_space_group_name_Hall 'C -2y'
_cell_length_a 10.925
_cell_length_b 2.950
_cell_length_c 5.326
_cell_angle_alpha 90.00
_cell_angle_beta 105.27
_cell_angle_gamma 90.00
loop_
_atom_site_label
_atom_site_fract_x
_atom_site_fract_y
_atom_site_fract_z
_atom_site_occupancy
Sr1 0.000 0.000 0.000 1
W1 0.272 0.500 0.402 1
Au1 0.010 0.500 0.492 1
Au2 0.244 0.000 0.855 1
```


Run S
Crystalline SrWAu2 at its relaxed geometry. Source: Alexandria via LeMat-Bulk, functional PBE-GGA.

Structure (CIF):
```
data_SrWAu2
_symmetry_space_group_name_H-M 'P 4 m m'
_symmetry_Int_Tables_number 99
_symmetry_space_group_name_Hall 'P 4 -2'
_cell_length_a 3.032
_cell_length_b 3.032
_cell_length_c 8.988
_cell_angle_alpha 90.00
_cell_angle_beta 90.00
_cell_angle_gamma 90.00
loop_
_atom_site_label
_atom_site_fract_x
_atom_site_fract_y
_atom_site_fract_z
_atom_site_occupancy
Sr1 0.000 0.000 0.000 1
W1 0.500 0.500 0.288 1
Au1 0.000 0.000 0.493 1
Au2 0.500 0.500 0.725 1
```


Relative calculated energies, zero for the most stable structure, unit meV per atom: run P 261; run Q 0; run R 17; run S 36.


Run P
Crystalline SrWAu2 at its relaxed geometry. Source: Alexandria via LeMat-Bulk, functional PBE-GGA.

Structure (CIF):
```
data_SrWAu2
_symmetry_space_group_name_H-M 'F m -3 m'
_symmetry_Int_Tables_number 225
_symmetry_space_group_name_Hall '-F 4 2 3'
_cell_length_a 7.069
_cell_length_b 7.069
_cell_length_c 7.069
_cell_angle_alpha 90.00
_cell_angle_beta 90.00
_cell_angle_gamma 90.00
loop_
_atom_site_label
_atom_site_fract_x
_atom_site_fract_y
_atom_site_fract_z
_atom_site_occupancy
Sr1 0.000 0.000 0.000 1
W1 0.000 0.000 0.500 1
Au1 0.250 0.250 0.250 1
```


Run Q
Crystalline SrWAu2 at its relaxed geometry. Source: Alexandria via LeMat-Bulk, functional PBE-GGA.

Structure (CIF):
```
data_SrWAu2
_symmetry_space_group_name_H-M 'I -4 m 2'
_symmetry_Int_Tables_number 119
_symmetry_space_group_name_Hall 'I -4 -2'
_cell_length_a 4.244
_cell_length_b 4.244
_cell_length_c 9.598
_cell_angle_alpha 90.00
_cell_angle_beta 90.00
_cell_angle_gamma 90.00
loop_
_atom_site_label
_atom_site_fract_x
_atom_site_fract_y
_atom_site_fract_z
_atom_site_occupancy
Sr1 0.000 0.000 0.000 1
W1 0.000 0.500 0.750 1
Au1 0.000 0.000 0.500 1
Au2 0.000 0.500 0.250 1
```


Run R
Crystalline SrWAu2 at its relaxed geometry. Source: Alexandria via LeMat-Bulk, functional PBE-GGA.

Structure (CIF):
```
data_SrWAu2
_symmetry_space_group_name_H-M 'P 4/m m m'
_symmetry_Int_Tables_number 123
_symmetry_space_group_name_Hall '-P 4 2'
_cell_length_a 3.099
_cell_length_b 3.099
_cell_length_c 8.516
_cell_angle_alpha 90.00
_cell_angle_beta 90.00
_cell_angle_gamma 90.00
loop_
_atom_site_label
_atom_site_fract_x
_atom_site_fract_y
_atom_site_fract_z
_atom_site_occupancy
Sr1 0.000 0.000 0.000 1
W1 0.000 0.000 0.500 1
Au1 0.500 0.500 0.287 1
```


Run S
Crystalline SrWAu2 at its relaxed geometry. Source: Alexandria via LeMat-Bulk, functional PBE-GGA.

Structure (CIF):
```
data_SrWAu2
_symmetry_space_group_name_H-M 'P m m m'
_symmetry_Int_Tables_number 47
_symmetry_space_group_name_Hall '-P 2 2'
_cell_length_a 2.953
_cell_length_b 3.975
_cell_length_c 7.212
_cell_angle_alpha 90.00
_cell_angle_beta 90.00
_cell_angle_gamma 90.00
loop_
_atom_site_label
_atom_site_fract_x
_atom_site_fract_y
_atom_site_fract_z
_atom_site_occupancy
Sr1 0.000 0.000 0.000 1
W1 0.000 0.000 0.500 1
Au1 0.500 0.500 0.303 1
```


Relative calculated energies, zero for the most stable structure, unit meV per atom: run P 247; run Q 352; run R 10; run S 0.


Run P
Crystalline SrWAu3 at its relaxed geometry. Source: Alexandria via LeMat-Bulk, functional PBE-GGA.

Structure (CIF):
```
data_SrWAu3
_symmetry_space_group_name_H-M 'P m -3 m'
_symmetry_Int_Tables_number 221
_symmetry_space_group_name_Hall '-P 4 2 3'
_cell_length_a 5.564
_cell_length_b 5.564
_cell_length_c 5.564
_cell_angle_alpha 90.00
_cell_angle_beta 90.00
_cell_angle_gamma 90.00
loop_
_atom_site_label
_atom_site_fract_x
_atom_site_fract_y
_atom_site_fract_z
_atom_site_occupancy
Sr1 0.000 0.000 0.000 1
W1 0.500 0.500 0.500 1
Au1 0.000 0.000 0.500 1
```


Run Q
Crystalline SrWAu3 at its relaxed geometry. Source: Alexandria via LeMat-Bulk, functional PBE-GGA.

Structure (CIF):
```
data_SrWAu3
_symmetry_space_group_name_H-M 'P m -3 m'
_symmetry_Int_Tables_number 221
_symmetry_space_group_name_Hall '-P 4 2 3'
_cell_length_a 5.125
_cell_length_b 5.125
_cell_length_c 5.125
_cell_angle_alpha 90.00
_cell_angle_beta 90.00
_cell_angle_gamma 90.00
loop_
_atom_site_label
_atom_site_fract_x
_atom_site_fract_y
_atom_site_fract_z
_atom_site_occupancy
Sr1 0.000 0.000 0.000 1
W1 0.500 0.500 0.500 1
Au1 0.000 0.500 0.500 1
```


Relative calculated energies, zero for the most stable structure, unit meV per atom: run P 1441; run Q 0.


Run P
Crystalline SrW3Au at its relaxed geometry. Source: Alexandria via LeMat-Bulk, functional PBE-GGA.

Structure (CIF):
```
data_SrW3Au
_symmetry_space_group_name_H-M 'P m -3 m'
_symmetry_Int_Tables_number 221
_symmetry_space_group_name_Hall '-P 4 2 3'
_cell_length_a 4.747
_cell_length_b 4.747
_cell_length_c 4.747
_cell_angle_alpha 90.00
_cell_angle_beta 90.00
_cell_angle_gamma 90.00
loop_
_atom_site_label
_atom_site_fract_x
_atom_site_fract_y
_atom_site_fract_z
_atom_site_occupancy
Sr1 0.000 0.000 0.000 1
W1 0.000 0.000 0.500 1
Au1 0.500 0.500 0.500 1
```


Run Q
Crystalline SrW3Au at its relaxed geometry. Source: Alexandria via LeMat-Bulk, functional PBE-GGA.

Structure (CIF):
```
data_SrW3Au
_symmetry_space_group_name_H-M 'P m -3 m'
_symmetry_Int_Tables_number 221
_symmetry_space_group_name_Hall '-P 4 2 3'
_cell_length_a 4.996
_cell_length_b 4.996
_cell_length_c 4.996
_cell_angle_alpha 90.00
_cell_angle_beta 90.00
_cell_angle_gamma 90.00
loop_
_atom_site_label
_atom_site_fract_x
_atom_site_fract_y
_atom_site_fract_z
_atom_site_occupancy
Sr1 0.000 0.000 0.000 1
W1 0.000 0.500 0.500 1
Au1 0.500 0.500 0.500 1
```


Relative calculated energies, zero for the most stable structure, unit meV per atom: run P 1264; run Q 0.


Run P
Crystalline Sr3WAu at its relaxed geometry. Source: Alexandria via LeMat-Bulk, functional PBE-GGA.

Structure (CIF):
```
data_Sr3WAu
_symmetry_space_group_name_H-M 'P m -3 m'
_symmetry_Int_Tables_number 221
_symmetry_space_group_name_Hall '-P 4 2 3'
_cell_length_a 5.915
_cell_length_b 5.915
_cell_length_c 5.915
_cell_angle_alpha 90.00
_cell_angle_beta 90.00
_cell_angle_gamma 90.00
loop_
_atom_site_label
_atom_site_fract_x
_atom_site_fract_y
_atom_site_fract_z
_atom_site_occupancy
Sr1 0.000 0.000 0.500 1
W1 0.500 0.500 0.500 1
Au1 0.000 0.000 0.000 1
```


Run Q
Crystalline Sr3WAu at its relaxed geometry. Source: Alexandria via LeMat-Bulk, functional PBE-GGA.

Structure (CIF):
```
data_Sr3WAu
_symmetry_space_group_name_H-M 'P m -3 m'
_symmetry_Int_Tables_number 221
_symmetry_space_group_name_Hall '-P 4 2 3'
_cell_length_a 5.742
_cell_length_b 5.742
_cell_length_c 5.742
_cell_angle_alpha 90.00
_cell_angle_beta 90.00
_cell_angle_gamma 90.00
loop_
_atom_site_label
_atom_site_fract_x
_atom_site_fract_y
_atom_site_fract_z
_atom_site_occupancy
Sr1 0.000 0.000 0.500 1
W1 0.000 0.000 0.000 1
Au1 0.500 0.500 0.500 1
```


Relative calculated energies, zero for the most stable structure, unit meV per atom: run P 0; run Q 137.


Run P
Crystalline SrYAu2 at its relaxed geometry. Source: Alexandria via LeMat-Bulk, functional PBE-GGA.

Structure (CIF):
```
data_SrYAu2
_symmetry_space_group_name_H-M 'F -4 3 m'
_symmetry_Int_Tables_number 216
_symmetry_space_group_name_Hall 'F -4 2 3'
_cell_length_a 7.183
_cell_length_b 7.183
_cell_length_c 7.183
_cell_angle_alpha 90.00
_cell_angle_beta 90.00
_cell_angle_gamma 90.00
loop_
_atom_site_label
_atom_site_fract_x
_atom_site_fract_y
_atom_site_fract_z
_atom_site_occupancy
Sr1 0.000 0.000 0.000 1
Y1 0.250 0.250 0.250 1
Au1 0.000 0.000 0.500 1
Au2 0.250 0.250 0.750 1
```


Run Q
Crystalline SrYAu2 at its relaxed geometry. Source: Alexandria via LeMat-Bulk, functional PBE-GGA.

Structure (CIF):
```
data_SrYAu2
_symmetry_space_group_name_H-M 'P 4/m m m'
_symmetry_Int_Tables_number 123
_symmetry_space_group_name_Hall '-P 4 2'
_cell_length_a 4.347
_cell_length_b 4.347
_cell_length_c 6.146
_cell_angle_alpha 90.00
_cell_angle_beta 90.00
_cell_angle_gamma 90.00
loop_
_atom_site_label
_atom_site_fract_x
_atom_site_fract_y
_atom_site_fract_z
_atom_site_occupancy
Sr1 0.000 0.000 0.000 1
Y1 0.500 0.500 0.500 1
Au1 0.000 0.000 0.500 1
Au2 0.500 0.500 0.000 1
```


Relative calculated energies, zero for the most stable structure, unit meV per atom: run P 270; run Q 0.